# PBE LiYRh3, relaxed
# **Spin magnetization**: 0.0 μB/cell
# **DOS(E_F)**: 4.47 states/eV per cell
# **Offset from the most stable computed form**: 0 meV per atom
data_LiYRh3
_chemical_formula_sum 'Li1 Y1 Rh3'
_cell_length_a 4.2988
_cell_length_b 4.2988
_cell_length_c 4.2988
_cell_angle_alpha 90.00
_cell_angle_beta 90.00
_cell_angle_gamma 90.00
_symmetry_space_group_name_H-M 'P m -3 m'
_symmetry_Int_Tables_number 221
_symmetry_space_group_name_Hall '-P 4 2 3'
loop_
_atom_site_label
_atom_site_fract_x
_atom_site_fract_y
_atom_site_fract_z
Li1 0.0000 0.0000 0.0000
Y1 0.5000 0.5000 0.5000
Rh1 0.0000 0.0000 0.5000